BaZn2In: optimized geometry, PBE-GGA.

Unit cell a=4.649 b=4.649 c=12.644 alpha=90.00 beta=90.00 gamma=120.00
Atoms (fractional coordinates):
Ba (0.000, 0.000, 0.185)
Ba (0.000, 0.000, 0.815)
Zn (0.333, 0.667, 0.001)
Zn (0.333, 0.667, 0.360)
Zn (0.667, 0.333, 0.640)
Zn (0.667, 0.333, 0.999)
In (0.333, 0.667, 0.582)
In (0.667, 0.333, 0.418)

Calculated values
spin magnetization	0.00	Bohr magnetons per cell
space-group type	P-3m1 (164)



Ba2Zn2In: optimized geometry, PBE-GGA.

Unit cell a=9.460 b=9.460 c=3.992 alpha=90.00 beta=90.00 gamma=90.00
Atoms (fractional coordinates):
Ba (0.156, 0.344, 0.000)
Ba (0.344, 0.844, 0.000)
Ba (0.656, 0.156, 0.000)
Ba (0.844, 0.656, 0.000)
Zn (0.137, 0.637, 0.500)
Zn (0.363, 0.137, 0.500)
Zn (0.637, 0.863, 0.500)
Zn (0.863, 0.363, 0.500)
In (0.000, 0.000, 0.000)
In (0.500, 0.500, 0.000)

Calculated values
spin magnetization	0.00	Bohr magnetons per cell
space-group type	P4/mbm (127)



no.,energy relative to the elements (eV/atom)
1,-0.152
2,0.008